1.
Entry from Alexandria: K2ZrCo after structural relaxation (GGA-PBE).

Output
Its space-group type is Imm2 (44). The value obtained for the volume is 139.4 Å³ per cell. The calculated density is 2.7 g/cm³.

Lattice parameters (Å, degrees): 7.268 7.268 7.268 152.74 127.01 60.60
Sites, in units of the cell vectors:
Co1 0.290 0.790 0.500
K1 0.057 0.057 0.000
K2 0.739 0.239 0.500
Zr1 0.415 0.415 0.000

2.
Entry from Alexandria: Pr3Nd7 after structural relaxation (GGA-PBE).

Output
Its space-group type is P6_3mc (186). The value obtained for the volume is 713.4 Å³ per cell. The calculated density is 6.7 g/cm³.

Lattice parameters (Å, degrees): 6.507 11.252 11.252 120.00 90.00 90.00
Sites, in units of the cell vectors:
Pr1 0.862 0.211 0.423
Pr2 0.862 0.211 0.789
Pr3 0.862 0.577 0.789
Pr4 0.362 0.789 0.577
Pr5 0.362 0.789 0.211
Pr6 0.362 0.423 0.211
Nd1 0.977 0.667 0.333
Nd2 0.477 0.333 0.667
Nd3 0.879 0.884 0.767
Nd4 0.879 0.884 0.116
Nd5 0.879 0.233 0.116
Nd6 0.379 0.116 0.233
Nd7 0.379 0.116 0.884
Nd8 0.379 0.767 0.884
Nd9 0.236 0.472 0.943
Nd10 0.236 0.472 0.528
Nd11 0.236 0.057 0.528
Nd12 0.736 0.528 0.057
Nd13 0.736 0.528 0.472
Nd14 0.736 0.943 0.472

3.
Entry from Alexandria: LaZrAl3 after structural relaxation (GGA-PBE).

Output
Its space-group type is Pm-3m (221). The value obtained for the volume is 136.6 Å³ per cell. The calculated density is 3.8 g/cm³.

Lattice parameters (Å, degrees): 5.150 5.150 5.150 90.00 90.00 90.00
Sites, in units of the cell vectors:
Al1 0.000 0.500 0.000
Al2 0.000 0.000 0.500
Al3 0.500 0.000 0.000
Zr1 0.000 0.000 0.000
La1 0.500 0.500 0.500

4.
Entry from Alexandria: Ti2Ga2Pb after structural relaxation (GGA-PBE).

Output
Its space-group type is I4/mmm (139). The value obtained for the volume is 103.5 Å³ per cell. The calculated density is 7.1 g/cm³.

Lattice parameters (Å, degrees): 4.282 4.282 6.405 70.47 70.47 90.00
Sites, in units of the cell vectors:
Pb1 0.000 0.000 0.000
Ga1 0.390 0.390 0.219
Ga2 0.610 0.610 0.781
Ti1 0.750 0.250 0.500
Ti2 0.250 0.750 0.500

no.,energy above the lowest structure with this stoichiometry (meV/atom),ΔE_f (eV/f.u.)
1,291.5,2.775
2,150.8,1.603
3,0.0,0.913
4,166.6,0.413